Entry 1:
# Ta2PdBr

Ta2PdBr after structural relaxation (PBE-GGA, Alexandria).

SG = Fm-3m
distance to the lowest polymorph of the same formula = 0.000 eV per atom
E_form (uncorrected) = 1.70 eV per formula unit

Cell: 6.519 6.519 6.519 Å, 90.00 90.00 90.00°
Fractional coordinates of all 16 atoms:
Ta 0.250 0.250 0.250
Ta 0.250 0.250 0.750
Ta 0.250 0.750 0.250
Ta 0.250 0.750 0.750
Ta 0.750 0.250 0.250
Ta 0.750 0.250 0.750
Ta 0.750 0.750 0.250
Ta 0.750 0.750 0.750
Pd 0.000 0.000 0.000
Pd 0.000 0.500 0.500
Pd 0.500 0.000 0.500
Pd 0.500 0.500 0.000
Br 0.000 0.000 0.500
Br 0.000 0.500 0.000
Br 0.500 0.000 0.000
Br 0.500 0.500 0.500

=====

Entry 2:
# TaPd3Br

TaPd3Br after structural relaxation (PBE-GGA, Alexandria).

SG = Pm-3m
distance to the lowest polymorph of the same formula = 0.283 eV per atom
E_form (uncorrected) = 5.70 eV per formula unit

Cell: 4.688 4.688 4.688 Å, 90.00 90.00 90.00°
Fractional coordinates of all 5 atoms:
Ta 0.000 0.000 0.000
Pd 0.000 0.500 0.500
Pd 0.500 0.000 0.500
Pd 0.500 0.500 0.000
Br 0.500 0.500 0.500

=====

Entry 3:
# TaPd2Br2

TaPd2Br2 after structural relaxation (PBE-GGA, Alexandria).

SG = P4/mbm
distance to the lowest polymorph of the same formula = 0.000 eV per atom
E_form (uncorrected) = 2.55 eV per formula unit

Cell: 7.270 7.270 3.519 Å, 90.00 90.00 90.00°
Fractional coordinates of all 10 atoms:
Ta 0.000 0.000 0.000
Ta 0.500 0.500 0.000
Pd 0.147 0.353 0.500
Pd 0.353 0.853 0.500
Pd 0.647 0.147 0.500
Pd 0.853 0.647 0.500
Br 0.165 0.665 0.000
Br 0.335 0.165 0.000
Br 0.665 0.835 0.000
Br 0.835 0.335 0.000

=====

Entry 4:
# Ta3PdBr

Ta3PdBr after structural relaxation (PBE-GGA, Alexandria).

SG = Pm-3m
distance to the lowest polymorph of the same formula = 0.000 eV per atom
E_form (uncorrected) = 7.48 eV per formula unit

Cell: 4.684 4.684 4.684 Å, 90.00 90.00 90.00°
Fractional coordinates of all 5 atoms:
Ta 0.000 0.000 0.500
Ta 0.000 0.500 0.000
Ta 0.500 0.000 0.000
Pd 0.500 0.500 0.500
Br 0.000 0.000 0.000

=====

Entry 5:
# TaPd2Br

TaPd2Br after structural relaxation (PBE-GGA, Alexandria).

SG = I-42d
distance to the lowest polymorph of the same formula = 0.000 eV per atom
E_form (uncorrected) = 1.75 eV per formula unit

Cell: 6.646 6.646 8.523 Å, 90.00 90.00 90.00°
Fractional coordinates of all 16 atoms:
Ta 0.000 0.000 0.000
Ta 0.000 0.500 0.250
Ta 0.500 0.000 0.750
Ta 0.500 0.500 0.500
Pd 0.229 0.750 0.125
Pd 0.250 0.229 0.875
Pd 0.250 0.271 0.375
Pd 0.271 0.750 0.625
Pd 0.729 0.250 0.625
Pd 0.750 0.729 0.375
Pd 0.750 0.771 0.875
Pd 0.771 0.250 0.125
Br 0.000 0.000 0.500
Br 0.000 0.500 0.750
Br 0.500 0.000 0.250
Br 0.500 0.500 0.000

=====

Entry 6:
# TaPd2Br2

TaPd2Br2 after structural relaxation (PBE-GGA, Alexandria).

SG = I4/mmm
distance to the lowest polymorph of the same formula = 0.061 eV per atom
E_form (uncorrected) = 2.86 eV per formula unit

Cell: 3.428 3.428 19.527 Å, 90.00 90.00 90.00°
Fractional coordinates of all 10 atoms:
Ta 0.000 0.000 0.000
Ta 0.500 0.500 0.500
Pd 0.000 0.500 0.250
Pd 0.000 0.500 0.750
Pd 0.500 0.000 0.250
Pd 0.500 0.000 0.750
Br 0.000 0.000 0.418
Br 0.000 0.000 0.582
Br 0.500 0.500 0.082
Br 0.500 0.500 0.918

=====

Entry 7:
# TaPd3Br

TaPd3Br after structural relaxation (PBE-GGA, Alexandria).

SG = Pm-3m
distance to the lowest polymorph of the same formula = 0.000 eV per atom
E_form (uncorrected) = 4.28 eV per formula unit

Cell: 4.923 4.923 4.923 Å, 90.00 90.00 90.00°
Fractional coordinates of all 5 atoms:
Ta 0.000 0.000 0.000
Pd 0.000 0.000 0.500
Pd 0.000 0.500 0.000
Pd 0.500 0.000 0.000
Br 0.500 0.500 0.500

=====

Entry 8:
# TaPdBr3

TaPdBr3 after structural relaxation (PBE-GGA, Alexandria).

SG = Pm-3m
distance to the lowest polymorph of the same formula = 0.560 eV per atom
E_form (uncorrected) = 4.20 eV per formula unit

Cell: 5.097 5.097 5.097 Å, 90.00 90.00 90.00°
Fractional coordinates of all 5 atoms:
Ta 0.000 0.000 0.000
Pd 0.500 0.500 0.500
Br 0.000 0.500 0.500
Br 0.500 0.000 0.500
Br 0.500 0.500 0.000

=====

Entry 9:
# Ta2PdBr

Ta2PdBr after structural relaxation (PBE-GGA, Alexandria).

SG = I-42d
distance to the lowest polymorph of the same formula = 0.665 eV per atom
E_form (uncorrected) = 4.36 eV per formula unit

Cell: 5.742 5.742 11.949 Å, 90.00 90.00 90.00°
Fractional coordinates of all 16 atoms:
Ta 0.230 0.250 0.125
Ta 0.250 0.730 0.375
Ta 0.250 0.770 0.875
Ta 0.270 0.250 0.625
Ta 0.730 0.750 0.625
Ta 0.750 0.230 0.875
Ta 0.750 0.270 0.375
Ta 0.770 0.750 0.125
Pd 0.000 0.000 0.000
Pd 0.000 0.500 0.250
Pd 0.500 0.000 0.750
Pd 0.500 0.500 0.500
Br 0.000 0.000 0.500
Br 0.000 0.500 0.750
Br 0.500 0.000 0.250
Br 0.500 0.500 0.000

=====

Entry 10:
# Tb7PdBr12

Tb7PdBr12 after structural relaxation (PBE-GGA, Alexandria).

SG = R-3
E_form (uncorrected) = -31.41 eV per formula unit

Cell: 9.275 9.275 9.275 Å, 107.56 107.56 107.56°
Fractional coordinates of all 20 atoms:
Tb 0.000 0.000 0.000
Tb 0.180 0.468 0.390
Tb 0.390 0.180 0.468
Tb 0.468 0.390 0.180
Tb 0.532 0.610 0.820
Tb 0.610 0.820 0.532
Tb 0.820 0.532 0.610
Pd 0.500 0.500 0.500
Br 0.028 0.109 0.336
Br 0.109 0.336 0.028
Br 0.182 0.574 0.721
Br 0.279 0.818 0.426
Br 0.336 0.028 0.109
Br 0.426 0.279 0.818
Br 0.574 0.721 0.182
Br 0.664 0.972 0.891
Br 0.721 0.182 0.574
Br 0.818 0.426 0.279
Br 0.891 0.664 0.972
Br 0.972 0.891 0.664

=====

Entry 11:
# Tb2PdBr2

Tb2PdBr2 after structural relaxation (PBE-GGA, Alexandria).

SG = R-3m
E_form (uncorrected) = -6.63 eV per formula unit

Cell: 3.999 3.999 33.458 Å, 90.00 90.00 120.00°
Fractional coordinates of all 15 atoms:
Tb 0.000 0.000 0.117
Tb 0.000 0.000 0.883
Tb 0.333 0.667 0.550
Tb 0.333 0.667 0.783
Tb 0.667 0.333 0.217
Tb 0.667 0.333 0.450
Pd 0.000 0.000 0.500
Pd 0.333 0.667 0.167
Pd 0.667 0.333 0.833
Br 0.000 0.000 0.274
Br 0.000 0.000 0.726
Br 0.333 0.667 0.393
Br 0.333 0.667 0.941
Br 0.667 0.333 0.059
Br 0.667 0.333 0.607

=====

Entry 12:
# TbPdBr

TbPdBr after structural relaxation (PBE-GGA, Alexandria).

SG = C2/m
E_form (uncorrected) = -3.37 eV per formula unit

Cell: 11.717 11.717 7.693 Å, 94.58 94.58 19.61°
Fractional coordinates of all 12 atoms:
Tb 0.159 0.159 0.097
Tb 0.163 0.163 0.612
Tb 0.837 0.837 0.388
Tb 0.841 0.841 0.903
Pd 0.250 0.250 0.375
Pd 0.255 0.255 0.877
Pd 0.745 0.745 0.123
Pd 0.750 0.750 0.625
Br 0.071 0.071 0.337
Br 0.408 0.408 0.162
Br 0.592 0.592 0.838
Br 0.929 0.929 0.663

=====

Entry 13:
# Tb2PdBr

Tb2PdBr after structural relaxation (PBE-GGA, Alexandria).

SG = R-3m
distance to the lowest polymorph of the same formula = 0.000 eV per atom
E_form (uncorrected) = -3.98 eV per formula unit

Cell: 4.092 4.092 22.779 Å, 90.00 90.00 120.00°
Fractional coordinates of all 12 atoms:
Tb 0.000 0.000 0.233
Tb 0.000 0.000 0.767
Tb 0.333 0.667 0.434
Tb 0.333 0.667 0.900
Tb 0.667 0.333 0.100
Tb 0.667 0.333 0.566
Pd 0.000 0.000 0.500
Pd 0.333 0.667 0.167
Pd 0.667 0.333 0.833
Br 0.000 0.000 0.000
Br 0.333 0.667 0.667
Br 0.667 0.333 0.333

=====

Entry 14:
# Tb2PdBr

Tb2PdBr after structural relaxation (PBE-GGA, Alexandria).

SG = R3m
distance to the lowest polymorph of the same formula = 0.023 eV per atom
E_form (uncorrected) = -3.89 eV per formula unit

Cell: 4.088 4.088 23.193 Å, 90.00 90.00 120.00°
Fractional coordinates of all 12 atoms:
Tb 0.000 0.000 0.000
Tb 0.000 0.000 0.204
Tb 0.333 0.667 0.667
Tb 0.333 0.667 0.871
Tb 0.667 0.333 0.333
Tb 0.667 0.333 0.537
Pd 0.000 0.000 0.602
Pd 0.333 0.667 0.269
Pd 0.667 0.333 0.935
Br 0.000 0.000 0.772
Br 0.333 0.667 0.439
Br 0.667 0.333 0.105

=====

Entry 15:
# Tb3PdBr3

Tb3PdBr3 after structural relaxation (PBE-GGA, Alexandria).

SG = I4_132
E_form (uncorrected) = -9.12 eV per formula unit

Cell: 10.219 10.219 10.219 Å, 109.47 109.47 109.47°
Fractional coordinates of all 28 atoms:
Tb 0.015 0.030 0.265
Tb 0.015 0.485 0.750
Tb 0.030 0.265 0.015
Tb 0.235 0.265 0.750
Tb 0.235 0.470 0.485
Tb 0.265 0.015 0.030
Tb 0.265 0.750 0.235
Tb 0.470 0.485 0.235
Tb 0.485 0.235 0.470
Tb 0.485 0.750 0.015
Tb 0.750 0.015 0.485
Tb 0.750 0.235 0.265
Pd 0.000 0.250 0.500
Pd 0.250 0.250 0.250
Pd 0.250 0.500 0.000
Pd 0.500 0.000 0.250
Br 0.250 0.756 0.744
Br 0.250 0.994 0.506
Br 0.506 0.250 0.994
Br 0.506 0.756 0.512
Br 0.512 0.506 0.756
Br 0.744 0.250 0.756
Br 0.744 0.994 0.988
Br 0.756 0.512 0.506
Br 0.756 0.744 0.250
Br 0.988 0.744 0.994
Br 0.994 0.506 0.250
Br 0.994 0.988 0.744

=====

Entry 16:
# Tb3TePdBr

Tb3TePdBr after structural relaxation (PBE-GGA, Alexandria).

SG = P2_1/m
E_form (uncorrected) = -5.76 eV per formula unit

Cell: 8.691 4.044 9.729 Å, 90.00 106.16 90.00°
Fractional coordinates of all 12 atoms:
Tb 0.062 0.250 0.353
Tb 0.167 0.250 0.979
Tb 0.401 0.750 0.610
Tb 0.599 0.250 0.390
Tb 0.833 0.750 0.021
Tb 0.938 0.750 0.647
Te 0.300 0.750 0.257
Te 0.700 0.250 0.743
Pd 0.173 0.250 0.655
Pd 0.827 0.750 0.345
Br 0.370 0.750 0.894
Br 0.630 0.250 0.106

=====

Entry 17:
# TcPd2Br

TcPd2Br after structural relaxation (PBE-GGA, Alexandria).

SG = Fm-3m
distance to the lowest polymorph of the same formula = 0.108 eV per atom
E_form (uncorrected) = 3.09 eV per formula unit

Cell: 6.581 6.581 6.581 Å, 90.00 90.00 90.00°
Fractional coordinates of all 16 atoms:
Tc 0.000 0.000 0.000
Tc 0.000 0.500 0.500
Tc 0.500 0.000 0.500
Tc 0.500 0.500 0.000
Pd 0.250 0.250 0.250
Pd 0.250 0.250 0.750
Pd 0.250 0.750 0.250
Pd 0.250 0.750 0.750
Pd 0.750 0.250 0.250
Pd 0.750 0.250 0.750
Pd 0.750 0.750 0.250
Pd 0.750 0.750 0.750
Br 0.000 0.000 0.500
Br 0.000 0.500 0.000
Br 0.500 0.000 0.000
Br 0.500 0.500 0.500

=====

Entry 18:
# Tc2Pd2Br

Tc2Pd2Br after structural relaxation (PBE-GGA, Alexandria).

SG = I4/mmm
distance to the lowest polymorph of the same formula = 0.174 eV per atom
E_form (uncorrected) = 3.81 eV per formula unit

Cell: 3.747 3.747 12.442 Å, 90.00 90.00 90.00°
Fractional coordinates of all 10 atoms:
Tc 0.000 0.000 0.096
Tc 0.000 0.000 0.904
Tc 0.500 0.500 0.404
Tc 0.500 0.500 0.596
Pd 0.000 0.500 0.250
Pd 0.000 0.500 0.750
Pd 0.500 0.000 0.250
Pd 0.500 0.000 0.750
Br 0.000 0.000 0.500
Br 0.500 0.500 0.000

=====

Entry 19:
# Tc2Pd2Br

Tc2Pd2Br after structural relaxation (PBE-GGA, Alexandria).

SG = P4/mbm
distance to the lowest polymorph of the same formula = 0.000 eV per atom
E_form (uncorrected) = 2.94 eV per formula unit

Cell: 6.609 6.609 3.893 Å, 90.00 90.00 90.00°
Fractional coordinates of all 10 atoms:
Tc 0.125 0.375 0.000
Tc 0.375 0.875 0.000
Tc 0.625 0.125 0.000
Tc 0.875 0.625 0.000
Pd 0.166 0.666 0.500
Pd 0.334 0.166 0.500
Pd 0.666 0.834 0.500
Pd 0.834 0.334 0.500
Br 0.000 0.000 0.000
Br 0.500 0.500 0.000

=====

Entry 20:
# TcPd2Br

TcPd2Br after structural relaxation (PBE-GGA, Alexandria).

SG = I-42d
distance to the lowest polymorph of the same formula = 0.000 eV per atom
E_form (uncorrected) = 2.65 eV per formula unit

Cell: 7.351 7.351 5.404 Å, 90.00 90.00 90.00°
Fractional coordinates of all 16 atoms:
Tc 0.000 0.000 0.000
Tc 0.000 0.500 0.250
Tc 0.500 0.000 0.750
Tc 0.500 0.500 0.500
Pd 0.246 0.250 0.125
Pd 0.250 0.746 0.375
Pd 0.250 0.754 0.875
Pd 0.254 0.250 0.625
Pd 0.746 0.750 0.625
Pd 0.750 0.246 0.875
Pd 0.750 0.254 0.375
Pd 0.754 0.750 0.125
Br 0.000 0.000 0.500
Br 0.000 0.500 0.750
Br 0.500 0.000 0.250
Br 0.500 0.500 0.000

=====

Entry 21:
# TcPdBr6

TcPdBr6 after structural relaxation (PBE-GGA, Alexandria).

SG = C2/m
E_form (uncorrected) = -2.56 eV per formula unit

Cell: 7.572 11.383 6.855 Å, 90.00 104.75 90.00°
Fractional coordinates of all 16 atoms:
Tc 0.000 0.000 0.000
Tc 0.500 0.500 0.000
Pd 0.000 0.000 0.500
Pd 0.500 0.500 0.500
Br 0.088 0.152 0.765
Br 0.088 0.848 0.765
Br 0.180 0.500 0.791
Br 0.320 0.000 0.209
Br 0.412 0.348 0.235
Br 0.412 0.652 0.235
Br 0.588 0.348 0.765
Br 0.588 0.652 0.765
Br 0.680 0.000 0.791
Br 0.820 0.500 0.209
Br 0.912 0.152 0.235
Br 0.912 0.848 0.235

=====

Entry 22:
# Tc2PdBr8

Tc2PdBr8 after structural relaxation (PBE-GGA, Alexandria).

SG = C2/m
E_form (uncorrected) = -1.35 eV per formula unit

Cell: 8.084 8.084 6.235 Å, 90.30 90.30 90.70°
Fractional coordinates of all 11 atoms:
Tc 0.177 0.177 0.311
Tc 0.823 0.823 0.689
Pd 0.000 0.000 0.000
Br 0.076 0.678 0.775
Br 0.165 0.165 0.701
Br 0.322 0.924 0.225
Br 0.382 0.382 0.237
Br 0.618 0.618 0.763
Br 0.678 0.076 0.775
Br 0.835 0.835 0.299
Br 0.924 0.322 0.225

=====

Entry 23:
# TePdBr

TePdBr after structural relaxation (PBE-GGA, Alexandria).

SG = Pnma
E_form (uncorrected) = -0.87 eV per formula unit

Cell: 9.519 3.751 9.949 Å, 90.00 90.00 90.00°
Fractional coordinates of all 12 atoms:
Te 0.171 0.250 0.011
Te 0.329 0.750 0.511
Te 0.671 0.250 0.489
Te 0.829 0.750 0.989
Pd 0.080 0.750 0.854
Pd 0.420 0.250 0.354
Pd 0.580 0.750 0.646
Pd 0.920 0.250 0.146
Br 0.029 0.250 0.679
Br 0.471 0.750 0.179
Br 0.529 0.250 0.821
Br 0.971 0.750 0.321